Compound: K2TaNi
Source: Alexandria
Functional: PBEsol
Structure: relaxed

Cell: 7.6993 7.6993 7.6993 Å, 90.00 90.00 90.00°
Closest atoms and distances in Å follow each position.
Space group Fm-3m (No. 225)
Symmetry-distinct sites (fractional):
K  0.2500  0.2500  0.2500 (multiplicity 8)  4 Ta 3.33, 4 Ni 3.33
Ta  0.0000  0.0000  0.0000 (multiplicity 4)  8 K 3.33
Ni  0.0000  0.0000  0.5000 (multiplicity 4)  8 K 3.33

Results
Its energy above the lowest structure with this stoichiometry is 1476.1 meV per atom. For the formation energy, the calculation gives 2087 meV/atom. The value obtained for the volume is 456.4 Å³ per cell.



Compound: Tl3In5
Source: Alexandria
Functional: PBEsol
Structure: relaxed

Cell: 12.0674 12.0674 5.9415 Å, 90.00 90.00 90.00°
Closest atoms and distances in Å follow each position.
Space group I4/mcm (No. 140)
Symmetry-distinct sites (fractional):
Tl  0.0000  0.0000  0.2500 (multiplicity 4)  2 Tl 2.97
Tl  0.1870  0.3130  0.0000 (multiplicity 8)  8 In 3.10-3.44
In  0.0000  0.5000  0.2500 (multiplicity 4)  2 In 2.97
In  0.0602  0.2445  0.5000 (multiplicity 16)  6 Tl 3.10-3.44, 3 In 3.31-3.33

Results
For the formation energy, the calculation gives 60 meV/atom. The value obtained for the volume is 865.2 Å³ per cell.



Compound: YSbPt
Source: Alexandria
Functional: PBEsol
Structure: relaxed

Cell: 4.4721 4.4721 3.8331 Å, 90.00 90.00 120.00°
Closest atoms and distances in Å follow each position.
Space group P3m1 (No. 156)
Symmetry-distinct sites (fractional):
Y  0.0000  0.0000  0.0000 (multiplicity 1)  6 Pt 3.14-3.29, 6 Sb 3.19-3.24
Sb  0.3333  0.6667  0.5098 (multiplicity 1)  3 Pt 2.59
Pt  0.6667  0.3333  0.4662 (multiplicity 1)  3 Sb 2.59

Results
The value obtained for the raw total energy is -7.19 eV/atom. The value obtained for the volume is 66.4 Å³ per cell.



Compound: ReNi2Os
Source: Alexandria
Functional: PBEsol
Structure: relaxed

Cell: 2.7947 4.3715 8.4247 Å, 90.00 90.00 90.00°
Closest atoms and distances in Å follow each position.
Space group Cmm2 (No. 35)
Symmetry-distinct sites (fractional):
Re  0.0000  0.0000  0.0000 (multiplicity 2)  2 Ni 2.51, 6 Re 2.59-2.79, 2 Os 2.67
Ni  0.0000  0.0000  0.5196 (multiplicity 2)  6 Ni 2.41-2.59, 2 Os 2.53
Ni  0.0000  0.5000  0.7531 (multiplicity 2)  6 Ni 2.41-2.59, 2 Re 2.51
Os  0.0000  0.5000  0.2698 (multiplicity 2)  2 Ni 2.53, 6 Os 2.59-2.79, 2 Re 2.67

Results
Its energy above the lowest structure with this stoichiometry is 384.6 meV per atom. For the formation energy, the calculation gives 386 meV/atom. The value obtained for the volume is 102.9 Å³ per cell.



Compound: Al5W
Source: Alexandria
Functional: PBEsol
Structure: relaxed

Cell: 4.8742 4.8742 8.8249 Å, 90.00 90.00 120.00°
Closest atoms and distances in Å follow each position.
Space group P6_322 (No. 182)
Symmetry-distinct sites (fractional):
Al  0.0000  0.0000  0.2500 (multiplicity 2)  9 Al 2.76-2.81, 3 W 2.81
Al  0.0000  0.3385  0.0000 (multiplicity 6)  2 W 2.73, 10 Al 2.73-2.86
Al  0.3333  0.6667  0.2500 (multiplicity 2)  9 Al 2.73-2.81, 3 W 2.81
W  0.3333  0.6667  0.7500 (multiplicity 2)  12 Al 2.73-2.81

Results
For the formation energy, the calculation gives -155 meV/atom. The value obtained for the volume is 181.6 Å³ per cell.



Compound: CsGaSeN2
Source: Alexandria
Functional: PBEsol
Structure: relaxed

Cell: 4.2742 4.2742 6.9316 Å, 90.00 90.00 90.00°
Closest atoms and distances in Å follow each position.
Space group P4/mmm (No. 123)
Symmetry-distinct sites (fractional):
Cs  0.0000  0.0000  0.0000 (multiplicity 1)  4 N 2.14
Ga  0.5000  0.5000  0.5000 (multiplicity 1)  4 Se 3.02
Se  0.0000  0.0000  0.5000 (multiplicity 1)  4 Ga 3.02
N  0.0000  0.5000  0.0000 (multiplicity 2)  2 Cs 2.14

Results
The value obtained for the raw total energy is -2.93 eV/atom. The value obtained for the volume is 126.6 Å³ per cell.



Compound: Li2TaCo
Source: Alexandria
Functional: PBEsol
Structure: relaxed

Cell: 5.7808 5.7808 5.7808 Å, 90.00 90.00 90.00°
Closest atoms and distances in Å follow each position.
Space group Fm-3m (No. 225)
Symmetry-distinct sites (fractional):
Li  0.2500  0.2500  0.2500 (multiplicity 8)  4 Co 2.50, 4 Ta 2.50
Ta  0.0000  0.0000  0.0000 (multiplicity 4)  8 Li 2.50
Co  0.0000  0.0000  0.5000 (multiplicity 4)  8 Li 2.50

Results
Its energy above the lowest structure with this stoichiometry is 540.9 meV per atom. For the formation energy, the calculation gives 726 meV/atom. The value obtained for the volume is 193.2 Å³ per cell.



Compound: Tb3Fe5O12
Source: Alexandria
Functional: PBEsol
Structure: relaxed

Cell: 12.1619 12.1619 12.1619 Å, 90.00 90.00 90.00°
Closest atoms and distances in Å follow each position.
Space group Ia-3d (No. 230)
Symmetry-distinct sites (fractional):
Tb  0.0000  0.2500  0.1250 (multiplicity 24)  8 O 2.33-2.42
Fe  0.0000  0.0000  0.0000 (multiplicity 16)  6 O 1.91
Fe  0.0000  0.2500  0.3750 (multiplicity 24)  4 O 1.86
O  0.0265  0.0539  0.6456 (multiplicity 96)  2 Fe 1.86-1.91

Results
The value obtained for the raw total energy is -8.27 eV/atom. The value obtained for the volume is 1798.9 Å³ per cell.



> Among the records above, which one has the highest volume?

Tb3Fe5O12



Please write out number 3 again, unchanged.
Compound: YSbPt
Source: Alexandria
Functional: PBEsol
Structure: relaxed

Cell: 4.4721 4.4721 3.8331 Å, 90.00 90.00 120.00°
Closest atoms and distances in Å follow each position.
Space group P3m1 (No. 156)
Symmetry-distinct sites (fractional):
Y  0.0000  0.0000  0.0000 (multiplicity 1)  6 Pt 3.14-3.29, 6 Sb 3.19-3.24
Sb  0.3333  0.6667  0.5098 (multiplicity 1)  3 Pt 2.59
Pt  0.6667  0.3333  0.4662 (multiplicity 1)  3 Sb 2.59

Results
The value obtained for the raw total energy is -7.19 eV/atom. The value obtained for the volume is 66.4 Å³ per cell.